NaNiAu: relaxed, PBE.

Properties
The value obtained for the offset from the most stable computed form is 394.1 meV/atom.

```
data_NaNiAu
_cell_length_a 6.1474
_cell_length_b 6.1474
_cell_length_c 6.1474
_cell_angle_alpha 90.00
_cell_angle_beta 90.00
_cell_angle_gamma 90.00
_space_group_name_H-M_alt 'F -4 3 m'
_space_group_IT_number 216
_space_group_name_Hall 'F -4 2 3'
loop_
_atom_site_label
_atom_site_type_symbol
_atom_site_fract_x
_atom_site_fract_y
_atom_site_fract_z
_atom_site_occupancy
Na1 Na 0.0000 0.0000 0.0000 1
Ni1 Ni 0.2500 0.2500 0.2500 1
Au1 Au 0.2500 0.2500 0.7500 1
```

PmNdRe: relaxed, PBE.

Properties
The value obtained for the formation energy is 1.181 eV/atom.

```
data_PmNdRe
_cell_length_a 6.8742
_cell_length_b 6.8742
_cell_length_c 6.8742
_cell_angle_alpha 90.00
_cell_angle_beta 90.00
_cell_angle_gamma 90.00
_space_group_name_H-M_alt 'F -4 3 m'
_space_group_IT_number 216
_space_group_name_Hall 'F -4 2 3'
loop_
_atom_site_label
_atom_site_type_symbol
_atom_site_fract_x
_atom_site_fract_y
_atom_site_fract_z
_atom_site_occupancy
Pm1 Pm 0.0000 0.0000 0.0000 1
Nd1 Nd 0.2500 0.2500 0.2500 1
Re1 Re 0.0000 0.0000 0.5000 1
```

DyTeN3: relaxed, PBE.

Properties
The electronic total energy comes out at -130.187 eV/cell.

```
data_DyTeN3
_cell_length_a 5.5745
_cell_length_b 7.9664
_cell_length_c 5.6426
_cell_angle_alpha 90.00
_cell_angle_beta 90.00
_cell_angle_gamma 90.00
_space_group_name_H-M_alt 'I m m a'
_space_group_IT_number 74
_space_group_name_Hall '-I 2b 2'
loop_
_atom_site_label
_atom_site_type_symbol
_atom_site_fract_x
_atom_site_fract_y
_atom_site_fract_z
_atom_site_occupancy
Dy1 Dy 0.0000 0.2500 0.0225 1
Te1 Te 0.0000 0.0000 0.5000 1
N1 N 0.0000 0.2500 0.6056 1
N2 N 0.2500 0.0650 0.2500 1
```

Cu124Hg: relaxed, PBE.

Properties
The value obtained for the formation energy is 0.007 eV/atom.

```
data_Cu124Hg
_cell_length_a 18.0587
_cell_length_b 18.0587
_cell_length_c 18.0587
_cell_angle_alpha 90.00
_cell_angle_beta 90.00
_cell_angle_gamma 90.00
_space_group_name_H-M_alt 'F m -3 m'
_space_group_IT_number 225
_space_group_name_Hall '-F 4 2 3'
loop_
_atom_site_label
_atom_site_type_symbol
_atom_site_fract_x
_atom_site_fract_y
_atom_site_fract_z
_atom_site_occupancy
Cu1 Cu 0.0000 0.0000 0.1000 1
Cu2 Cu 0.0000 0.0000 0.2996 1
Cu3 Cu 0.0000 0.1001 0.1999 1
Cu4 Cu 0.0000 0.1035 0.3965 1
Cu5 Cu 0.0000 0.2009 0.2991 1
Cu6 Cu 0.1000 0.1000 0.1000 1
Cu7 Cu 0.1004 0.1004 0.2992 1
Cu8 Cu 0.1001 0.2000 0.2000 1
Cu9 Cu 0.2001 0.2001 0.2999 1
Hg1 Hg 0.0000 0.0000 0.5000 1
```

GdTmZn: relaxed, PBE.

Properties
The value obtained for the offset from the most stable computed form is 0.0 meV/atom. The value obtained for the formation energy is 0.018 eV/atom.

```
data_GdTmZn
_cell_length_a 6.9706
_cell_length_b 6.9706
_cell_length_c 6.9706
_cell_angle_alpha 90.00
_cell_angle_beta 90.00
_cell_angle_gamma 90.00
_space_group_name_H-M_alt 'F -4 3 m'
_space_group_IT_number 216
_space_group_name_Hall 'F -4 2 3'
loop_
_atom_site_label
_atom_site_type_symbol
_atom_site_fract_x
_atom_site_fract_y
_atom_site_fract_z
_atom_site_occupancy
Gd1 Gd 0.0000 0.0000 0.0000 1
Tm1 Tm 0.0000 0.0000 0.5000 1
Zn1 Zn 0.2500 0.2500 0.2500 1
```

TbTmAl4Co2: relaxed, PBE.

Properties
The electronic total energy comes out at -85.215 eV/cell.

```
data_TbTmAl4Co2
_cell_length_a 7.0035
_cell_length_b 4.0378
_cell_length_c 9.8710
_cell_angle_alpha 90.00
_cell_angle_beta 90.00
_cell_angle_gamma 90.00
_space_group_name_H-M_alt 'A m m 2'
_space_group_IT_number 38
loop_
_space_group_symop_operation_xyz
'x,y,z'
'-x,-y,z'
'-x,y,z'
'x,-y,z'
'x,y+1/2,z+1/2'
'-x,-y+1/2,z+1/2'
'-x,y+1/2,z+1/2'
'x,-y+1/2,z+1/2'
loop_
_atom_site_label
_atom_site_type_symbol
_atom_site_fract_x
_atom_site_fract_y
_atom_site_fract_z
_atom_site_occupancy
Tb1 Tb 0.0000 0.0000 0.0000 1
Tm1 Tm 0.5000 0.0000 0.1218 1
Al1 Al 0.1964 0.0000 0.7190 1
Al2 Al 0.3073 0.0000 0.4022 1
Co1 Co 0.0000 0.0000 0.2759 1
Co2 Co 0.5000 0.0000 0.8455 1
```